[1]
First-principles (PBE-GGA) data for an optimized crystal structure of CeHoIrAu, as listed in the Alexandria database.

Cell: 5.018 5.018 5.018 Å, 60.00 60.00 60.00°
Each line ends with the local moment (μB).
Fractional positions:
Ce 0.750 0.750 0.750  0.49
Au 0.000 0.000 0.000  0.00
Ho 0.250 0.250 0.250  0.03
Ir 0.500 0.500 0.500  -0.04

- Raw total energy: -0.23426 hartree per atom
- Size of the total moment: 0.140 μB/atom

---

[2]
First-principles (PBE-GGA) data for an optimized crystal structure of Al2GaPt8, as listed in the Alexandria database.

Cell: 3.974 5.582 8.333 Å, 104.66 103.79 90.00°
Fractional positions:
Al 0.185 0.731 0.370
Al 0.815 0.269 0.630
Pt 0.217 0.310 0.434
Pt 0.604 0.437 0.209
Pt 0.971 0.254 0.943
Pt 0.396 0.563 0.791
Pt 0.783 0.690 0.566
Pt 0.651 0.973 0.302
Pt 0.029 0.746 0.057
Pt 0.349 0.027 0.698
Ga 0.500 0.000 0.000

- Relative energy among the computed polymorphs: 0.033 eV/atom
- Raw total energy: -0.21724 hartree per atom
- Size of the total moment: 0.000 μB/atom